VASP calculation (PBE-GGA) on a relaxed structure of Ac2ScSn3Pt4.

Energy relative to the elements (eV per atom): -0.967

Lattice parameters (Å, degrees): 4.689 4.689 10.860 90.00 90.00 90.00
Space group P-4m2 (No. 115)
Inequivalent atoms, fractional coordinates:
Ac 0.000 0.500 0.236 (multiplicity 2)
Sc 0.000 0.000 0.500 (multiplicity 1)
Sn 0.000 0.500 0.876 (multiplicity 2)
Sn 0.500 0.500 0.500 (multiplicity 1)
Pt 0.000 0.000 0.000 (multiplicity 1)
Pt 0.000 0.500 0.632 (multiplicity 2)
Pt 0.500 0.500 0.000 (multiplicity 1)

=====

VASP calculation (PBE-GGA) on a relaxed structure of PmZrPb.

Energy relative to the elements (eV per atom): -0.140

Lattice parameters (Å, degrees): 3.991 3.991 10.111 90.00 90.00 90.00
Space group I4mm (No. 107)
Inequivalent atoms, fractional coordinates:
Pm 0.000 0.000 0.000 (multiplicity 2)
Zr 0.000 0.000 0.315 (multiplicity 2)
Pb 0.000 0.000 0.674 (multiplicity 2)

=====

VASP calculation (PBE-GGA) on a relaxed structure of Na2SbPbCl8.

Raw formation energy (meV per atom): -1145

Lattice parameters (Å, degrees): 6.462 8.574 6.592 90.00 93.89 90.00
Space group P2/m (No. 10)
Inequivalent atoms, fractional coordinates:
Na 0.000 0.246 0.000 (multiplicity 2)
Sb 0.500 0.500 0.500 (multiplicity 1)
Pb 0.500 0.000 0.500 (multiplicity 1)
Cl 0.217 0.000 0.165 (multiplicity 2)
Cl 0.236 0.500 0.193 (multiplicity 2)
Cl 0.293 0.282 0.664 (multiplicity 4)